[1]
# PBE-GGA ZnCrNiRu, relaxed
data_ZnCrNiRu
_chemical_formula_sum 'Zn4 Cr4 Ni4 Ru4'
_cell_length_a 5.8931
_cell_length_b 5.8931
_cell_length_c 5.8931
_cell_angle_alpha 90.00
_cell_angle_beta 90.00
_cell_angle_gamma 90.00
_space_group_name_H-M_alt 'P 1'
_space_group_IT_number 1
loop_
_space_group_symop_operation_xyz
'x,y,z'
loop_
_atom_site_label
_atom_site_type_symbol
_atom_site_fract_x
_atom_site_fract_y
_atom_site_fract_z
Zn1 Zn 0.0000 0.0000 0.0000
Zn2 Zn 0.0000 0.5000 0.5000
Zn3 Zn 0.5000 0.0000 0.5000
Zn4 Zn 0.5000 0.5000 0.0000
Cr1 Cr 0.0000 0.0000 0.5000
Cr2 Cr 0.0000 0.5000 0.0000
Cr3 Cr 0.5000 0.0000 0.0000
Cr4 Cr 0.5000 0.5000 0.5000
Ni1 Ni 0.2500 0.2500 0.2500
Ni2 Ni 0.2500 0.7500 0.7500
Ni3 Ni 0.7500 0.2500 0.7500
Ni4 Ni 0.7500 0.7500 0.2500
Ru1 Ru 0.2500 0.2500 0.7500
Ru2 Ru 0.2500 0.7500 0.2500
Ru3 Ru 0.7500 0.2500 0.2500
Ru4 Ru 0.7500 0.7500 0.7500
# density of states at the Fermi level = 0.393 states/eV per atom
# calculated total energy = -6.495 eV/atom
# formation energy from the elements = -0.01 eV/atom

[2]
# PBE-GGA Ti5InPd4, relaxed
data_Ti5InPd4
_chemical_formula_sum 'Ti5 In1 Pd4'
_cell_length_a 2.8986
_cell_length_b 3.9177
_cell_length_c 14.3630
_cell_angle_alpha 90.00
_cell_angle_beta 90.00
_cell_angle_gamma 90.00
_space_group_name_H-M_alt 'P 1'
_space_group_IT_number 1
loop_
_space_group_symop_operation_xyz
'x,y,z'
loop_
_atom_site_label
_atom_site_type_symbol
_atom_site_fract_x
_atom_site_fract_y
_atom_site_fract_z
Ti1 Ti 0.0000 0.0000 0.0000
Ti2 Ti 0.0000 0.0000 0.1928
Ti3 Ti 0.0000 0.0000 0.3875
Ti4 Ti 0.0000 0.0000 0.6125
Ti5 Ti 0.0000 0.0000 0.8072
In1 In 0.5000 0.5000 0.5000
Pd1 Pd 0.5000 0.5000 0.0972
Pd2 Pd 0.5000 0.5000 0.2934
Pd3 Pd 0.5000 0.5000 0.7066
Pd4 Pd 0.5000 0.5000 0.9028
# density of states at the Fermi level = 1.197 states/eV per atom
# calculated total energy = -6.725 eV/atom
# formation energy from the elements = -0.43 eV/atom

[3]
# PBE-GGA SrNi2P, relaxed
data_SrNi2P
_chemical_formula_sum 'Sr4 Ni8 P4'
_cell_length_a 4.7432
_cell_length_b 4.7432
_cell_length_c 14.5949
_cell_angle_alpha 90.00
_cell_angle_beta 90.00
_cell_angle_gamma 90.00
_space_group_name_H-M_alt 'P 1'
_space_group_IT_number 1
loop_
_space_group_symop_operation_xyz
'x,y,z'
loop_
_atom_site_label
_atom_site_type_symbol
_atom_site_fract_x
_atom_site_fract_y
_atom_site_fract_z
Sr1 Sr 0.0000 0.2500 0.3750
Sr2 Sr 0.0000 0.7500 0.6250
Sr3 Sr 0.5000 0.2500 0.1250
Sr4 Sr 0.5000 0.7500 0.8750
Ni1 Ni 0.0000 0.0000 0.0000
Ni2 Ni 0.0000 0.5000 0.0000
Ni3 Ni 0.2500 0.2500 0.7500
Ni4 Ni 0.2500 0.7500 0.2500
Ni5 Ni 0.5000 0.0000 0.5000
Ni6 Ni 0.5000 0.5000 0.5000
Ni7 Ni 0.7500 0.2500 0.7500
Ni8 Ni 0.7500 0.7500 0.2500
P1 P 0.0000 0.2500 0.8750
P2 P 0.0000 0.7500 0.1250
P3 P 0.5000 0.2500 0.6250
P4 P 0.5000 0.7500 0.3750
# density of states at the Fermi level = 0.573 states/eV per atom
# calculated total energy = -5.199 eV/atom
# formation energy from the elements = -0.54 eV/atom

[4]
# PBE-GGA LaPSe2, relaxed
data_LaPSe2
_chemical_formula_sum 'La3 P3 Se6'
_cell_length_a 4.3232
_cell_length_b 4.3232
_cell_length_c 20.8460
_cell_angle_alpha 90.00
_cell_angle_beta 90.00
_cell_angle_gamma 120.00
_space_group_name_H-M_alt 'P 1'
_space_group_IT_number 1
loop_
_space_group_symop_operation_xyz
'x,y,z'
loop_
_atom_site_label
_atom_site_type_symbol
_atom_site_fract_x
_atom_site_fract_y
_atom_site_fract_z
La1 La 0.0000 0.0000 0.0000
La2 La 0.3333 0.6667 0.6667
La3 La 0.6667 0.3333 0.3333
P1 P 0.0000 0.0000 0.7901
P2 P 0.3333 0.6667 0.4568
P3 P 0.6667 0.3333 0.1234
Se1 Se 0.0000 0.0000 0.2603
Se2 Se 0.0000 0.0000 0.4374
Se3 Se 0.3333 0.6667 0.1040
Se4 Se 0.3333 0.6667 0.9269
Se5 Se 0.6667 0.3333 0.5936
Se6 Se 0.6667 0.3333 0.7707
# density of states at the Fermi level = 0.263 states/eV per atom
# uncorrected formation energy = -0.749 eV/atom
# calculated total energy = -5.076 eV/atom

[5]
# PBE-GGA NaCaH2, relaxed
data_NaCaH2
_chemical_formula_sum 'Na4 Ca4 H8'
_cell_length_a 6.0948
_cell_length_b 6.0948
_cell_length_c 6.0948
_cell_angle_alpha 90.00
_cell_angle_beta 90.00
_cell_angle_gamma 90.00
_space_group_name_H-M_alt 'P 1'
_space_group_IT_number 1
loop_
_space_group_symop_operation_xyz
'x,y,z'
loop_
_atom_site_label
_atom_site_type_symbol
_atom_site_fract_x
_atom_site_fract_y
_atom_site_fract_z
Na1 Na 0.0000 0.0000 0.0000
Na2 Na 0.0000 0.5000 0.5000
Na3 Na 0.5000 0.0000 0.5000
Na4 Na 0.5000 0.5000 0.0000
Ca1 Ca 0.0000 0.0000 0.5000
Ca2 Ca 0.0000 0.5000 0.0000
Ca3 Ca 0.5000 0.0000 0.0000
Ca4 Ca 0.5000 0.5000 0.5000
H1 H 0.2500 0.2500 0.2500
H2 H 0.2500 0.2500 0.7500
H3 H 0.2500 0.7500 0.2500
H4 H 0.2500 0.7500 0.7500
H5 H 0.7500 0.2500 0.2500
H6 H 0.7500 0.2500 0.7500
H7 H 0.7500 0.7500 0.2500
H8 H 0.7500 0.7500 0.7500
# density of states at the Fermi level = 0.210 states/eV per atom
# calculated total energy = -2.563 eV/atom

[6]
# PBE-GGA ZnH2O, relaxed
data_ZnH2O
_chemical_formula_sum 'Zn1 H2 O1'
_cell_length_a 3.2704
_cell_length_b 3.2770
_cell_length_c 5.1579
_cell_angle_alpha 72.79
_cell_angle_beta 71.83
_cell_angle_gamma 60.16
_space_group_name_H-M_alt 'P 1'
_space_group_IT_number 1
loop_
_space_group_symop_operation_xyz
'x,y,z'
loop_
_atom_site_label
_atom_site_type_symbol
_atom_site_fract_x
_atom_site_fract_y
_atom_site_fract_z
Zn1 Zn 0.0000 0.0000 0.0000
H1 H 0.1133 0.0844 0.6762
H2 H 0.2045 0.2155 0.3786
O1 O 0.2745 0.2833 0.1707
# density of states at the Fermi level = 0.000 states/eV per atom
# calculated total energy = -3.907 eV/atom

> Look up the calculated total energy of the fourth one.

-5.076 eV/atom

Please write out number 2 again, unchanged.
# PBE-GGA Ti5InPd4, relaxed
data_Ti5InPd4
_chemical_formula_sum 'Ti5 In1 Pd4'
_cell_length_a 2.8986
_cell_length_b 3.9177
_cell_length_c 14.3630
_cell_angle_alpha 90.00
_cell_angle_beta 90.00
_cell_angle_gamma 90.00
_space_group_name_H-M_alt 'P 1'
_space_group_IT_number 1
loop_
_space_group_symop_operation_xyz
'x,y,z'
loop_
_atom_site_label
_atom_site_type_symbol
_atom_site_fract_x
_atom_site_fract_y
_atom_site_fract_z
Ti1 Ti 0.0000 0.0000 0.0000
Ti2 Ti 0.0000 0.0000 0.1928
Ti3 Ti 0.0000 0.0000 0.3875
Ti4 Ti 0.0000 0.0000 0.6125
Ti5 Ti 0.0000 0.0000 0.8072
In1 In 0.5000 0.5000 0.5000
Pd1 Pd 0.5000 0.5000 0.0972
Pd2 Pd 0.5000 0.5000 0.2934
Pd3 Pd 0.5000 0.5000 0.7066
Pd4 Pd 0.5000 0.5000 0.9028
# density of states at the Fermi level = 1.197 states/eV per atom
# calculated total energy = -6.725 eV/atom
# formation energy from the elements = -0.43 eV/atom

> density of states at the Fermi level of number 2 (Ti5InPd4)?

1.197 states/eV per atom

> calculated total energy of number 3 (SrNi2P)?

-5.199 eV/atom